Below is a relaxed PrHgSb crystal, with properties calculated at the PBE level.

Computed properties:
Magnetization in μB per formula unit: 0.00
Formation energy (no corrections) in eV per atom: -0.565
Polymorph energy (0 for the lowest one) in meV per atom: 90

a = 5.6546 Å, b = 5.6546 Å, c = 5.6546 Å
α = 135.33°, β = 135.33°, γ = 65.02°
Last column: nearest neighbours and their distance in Å.
Fractional coordinates of all 3 atoms:
Pr 0.0000 0.0000 0.0000  5 Hg 3.10-3.47, 5 Sb 3.35
Hg 0.3249 0.3249 0.0000  1 Sb 3.09, 1 Pr 3.10
Sb 0.6488 0.6488 0.0000  1 Hg 3.09, 5 Pr 3.35

---

Below is a relaxed PrHgSb crystal, with properties calculated at the PBE level.

Computed properties:
Magnetization in μB per formula unit: 0.00
Formation energy (no corrections) in eV per atom: -0.539
Polymorph energy (0 for the lowest one) in meV per atom: 116

a = 5.2740 Å, b = 5.2740 Å, c = 5.2740 Å
α = 60.00°, β = 60.00°, γ = 60.00°
Last column: nearest neighbours and their distance in Å.
Fractional coordinates of all 3 atoms:
Pr 0.0000 0.0000 0.0000  4 Hg 3.23, 4 Sb 3.23
Hg 0.2500 0.2500 0.2500  4 Pr 3.23
Sb 0.7500 0.7500 0.7500  4 Pr 3.23

---

Below is a relaxed Pr8Hg3Sb2 crystal, with properties calculated at the PBE level.

Computed properties:
Magnetization in μB per formula unit: 0.00
Formation energy (no corrections) in eV per atom: -0.417

a = 8.9262 Å, b = 8.9262 Å, c = 6.4768 Å
α = 90.85°, β = 90.85°, γ = 58.22°
Last column: nearest neighbours and their distance in Å.
Fractional coordinates of all 13 atoms:
Pr 0.0914 0.0914 0.3610  1 Sb 3.17, 2 Hg 3.31, 1 Pr 3.40
Pr 0.0920 0.6694 0.1368  2 Sb 3.14-3.22, 2 Hg 3.14-3.25
Pr 0.3191 0.3191 0.6084  2 Hg 3.28, 2 Sb 3.30-3.43
Pr 0.3306 0.9080 0.8632  2 Sb 3.14-3.22, 2 Hg 3.14-3.25
Pr 0.6694 0.0920 0.1368  2 Sb 3.14-3.22, 2 Hg 3.14-3.25
Pr 0.6809 0.6809 0.3916  2 Hg 3.28, 2 Sb 3.30-3.43
Pr 0.9080 0.3306 0.8632  2 Sb 3.14-3.22, 2 Hg 3.14-3.25
Pr 0.9086 0.9086 0.6390  1 Sb 3.17, 2 Hg 3.31, 1 Pr 3.40
Hg 0.3275 0.6725 0.5000  1 Hg 3.00, 6 Pr 3.14-3.31
Hg 0.5000 0.5000 0.0000  4 Pr 3.25, 4 Hg 3.57
Hg 0.6725 0.3275 0.5000  1 Hg 3.00, 6 Pr 3.14-3.31
Sb 0.2604 0.2604 0.0953  7 Pr 3.14-3.43
Sb 0.7396 0.7396 0.9047  7 Pr 3.14-3.43